Record 1
# Ac12PrPb7 GGA-PBE relaxed
data_Ac12PrPb7
_space_group_name_H-M_alt 'P 1'
_space_group_IT_number 1
_cell_length_a 10.323
_cell_length_b 10.323
_cell_length_c 10.323
_cell_angle_alpha 110.76
_cell_angle_beta 110.76
_cell_angle_gamma 110.76
loop_
_space_group_symop_operation_xyz
'x,y,z'
loop_
_atom_site_label
_atom_site_type_symbol
_atom_site_fract_x
_atom_site_fract_y
_atom_site_fract_z
Ac1 Ac 0.000 0.271 0.729
Ac2 Ac 0.000 0.729 0.271
Ac3 Ac 0.166 0.489 0.489
Ac4 Ac 0.271 0.000 0.729
Ac5 Ac 0.271 0.729 0.000
Ac6 Ac 0.489 0.166 0.489
Ac7 Ac 0.489 0.489 0.166
Ac8 Ac 0.511 0.511 0.834
Ac9 Ac 0.511 0.834 0.511
Ac10 Ac 0.729 0.000 0.271
Ac11 Ac 0.729 0.271 0.000
Ac12 Ac 0.834 0.511 0.511
Pr1 Pr 0.000 0.000 0.000
Pb1 Pb 0.134 0.134 0.443
Pb2 Pb 0.134 0.443 0.134
Pb3 Pb 0.443 0.134 0.134
Pb4 Pb 0.500 0.500 0.500
Pb5 Pb 0.557 0.866 0.866
Pb6 Pb 0.866 0.557 0.866
Pb7 Pb 0.866 0.866 0.557
# Calculated volume in Å³/f.u.: 803.8
# Theoretical density in g/cm3: 8.91
# Energy relative to the elements in meV per atom: -274
# DFT total energy in eV per atom: -4.276
# Magnetic moment in μB per cell: 0.0
# Symmetry: No. 166

Record 2
# SrSb2 GGA-PBE relaxed
data_SrSb2
_space_group_name_H-M_alt 'P 1'
_space_group_IT_number 1
_cell_length_a 5.088
_cell_length_b 5.088
_cell_length_c 4.613
_cell_angle_alpha 90.00
_cell_angle_beta 90.00
_cell_angle_gamma 120.00
loop_
_space_group_symop_operation_xyz
'x,y,z'
loop_
_atom_site_label
_atom_site_type_symbol
_atom_site_fract_x
_atom_site_fract_y
_atom_site_fract_z
Sr1 Sr 0.000 0.000 0.000
Sb1 Sb 0.333 0.667 0.566
Sb2 Sb 0.667 0.333 0.434
# Calculated volume in Å³/f.u.: 103.4
# Theoretical density in g/cm3: 5.32
# DFT total energy in eV per atom: -3.820
# Magnetic moment in μB per cell: 0.0
# Uncorrected formation energy in eV per atom: -0.511
# Symmetry: No. 164

Record 3
# K2Ba2Tl GGA-PBE relaxed
data_K2Ba2Tl
_space_group_name_H-M_alt 'P 1'
_space_group_IT_number 1
_cell_length_a 9.184
_cell_length_b 9.184
_cell_length_c 7.449
_cell_angle_alpha 90.00
_cell_angle_beta 90.00
_cell_angle_gamma 90.00
loop_
_space_group_symop_operation_xyz
'x,y,z'
loop_
_atom_site_label
_atom_site_type_symbol
_atom_site_fract_x
_atom_site_fract_y
_atom_site_fract_z
K1 K 0.171 0.329 0.000
K2 K 0.329 0.829 0.000
K3 K 0.671 0.171 0.000
K4 K 0.829 0.671 0.000
Ba1 Ba 0.166 0.666 0.500
Ba2 Ba 0.334 0.166 0.500
Ba3 Ba 0.666 0.834 0.500
Ba4 Ba 0.834 0.334 0.500
Tl1 Tl 0.000 0.000 0.500
Tl2 Tl 0.500 0.500 0.500
# Calculated volume in Å³/f.u.: 314.2
# Theoretical density in g/cm3: 2.95
# Energy relative to the elements in meV per atom: 54
# Polymorph energy (0 for the lowest one) in meV per atom: 0
# DFT total energy in eV per atom: -1.628
# Magnetic moment in μB per cell: 0.0
# Symmetry: No. 127

Record 4
# Tl2CoPt GGA-PBE relaxed
data_Tl2CoPt
_space_group_name_H-M_alt 'P 1'
_space_group_IT_number 1
_cell_length_a 3.112
_cell_length_b 3.480
_cell_length_c 7.889
_cell_angle_alpha 90.00
_cell_angle_beta 90.00
_cell_angle_gamma 90.00
loop_
_space_group_symop_operation_xyz
'x,y,z'
loop_
_atom_site_label
_atom_site_type_symbol
_atom_site_fract_x
_atom_site_fract_y
_atom_site_fract_z
Tl1 Tl 0.000 0.000 0.000
Tl2 Tl 0.500 0.500 0.357
Co1 Co 0.500 0.500 0.747
Pt1 Pt 0.000 0.000 0.619
# Calculated volume in Å³/f.u.: 85.4
# Theoretical density in g/cm3: 12.88
# Energy relative to the elements in meV per atom: 244
# DFT total energy in eV per atom: -4.225
# Magnetic moment in μB per cell: 2.1
# Symmetry: No. 25